Compound: PaMoAs
Source: the Open Quantum Materials Database
Functional: PBE
Structure: relaxed Values from VASP.

Its magnetization is 0.01 μB per cell. The value obtained for the final energy is -7.657 eV per atom.

```
&SYSTEM
  ibrav = 0, nat = 3, ntyp = 3
/
ATOMIC_SPECIES
Pa 231.04 Pa.upf
Mo 95.94 Mo.upf
As 74.92 As.upf
CELL_PARAMETERS angstrom
0.0000 3.2821 3.2821
3.2821 0.0000 3.2821
3.2821 3.2821 0.0000
ATOMIC_POSITIONS angstrom
Pa 0.0000 0.0000 0.0000
Mo 1.6411 1.6411 1.6411
As 4.9232 4.9232 4.9232
```

---

Compound: HoNbN2O
Source: the Open Quantum Materials Database
Functional: PBE
Structure: relaxed Values from VASP.

Its magnetization is 0.00 μB per cell. The value obtained for the final energy is -8.814 eV per atom.

```
&SYSTEM
  ibrav = 0, nat = 10, ntyp = 4
/
ATOMIC_SPECIES
Ho 164.93 Ho.upf
Nb 92.91 Nb.upf
N 14.01 N.upf
O 16.00 O.upf
CELL_PARAMETERS angstrom
5.6817 0.0000 0.0000
0.0000 3.8468 0.0000
0.0000 0.0000 5.9885
ATOMIC_POSITIONS angstrom
Ho 1.4204 0.0000 1.0601
Ho 4.2613 0.0000 4.9284
Nb 1.4204 1.9234 4.2977
Nb 4.2613 1.9234 1.6908
N 0.0000 1.9234 2.9943
N 1.4204 0.0000 4.8597
N 2.8408 1.9234 2.9943
N 4.2613 0.0000 1.1288
O 0.0000 1.9234 0.0000
O 2.8408 1.9234 0.0000
```

---

Compound: DyZn2Ni2
Source: the Open Quantum Materials Database
Functional: PBE
Structure: relaxed Values from VASP.

Its magnetization is 0.00 μB per cell. As for the formation enthalpy at 0 K: -292.6 meV/atom.

```
&SYSTEM
  ibrav = 0, nat = 5, ntyp = 3
/
ATOMIC_SPECIES
Dy 162.50 Dy.upf
Zn 65.41 Zn.upf
Ni 58.69 Ni.upf
CELL_PARAMETERS angstrom
-1.9613 1.9613 5.1998
1.9613 -1.9613 5.1998
1.9613 1.9613 -5.1998
ATOMIC_POSITIONS angstrom
Dy 0.0000 0.0000 0.0000
Zn 0.0000 0.0000 3.9715
Zn 0.0000 0.0000 6.4281
Ni 1.9613 0.0000 2.5999
Ni 0.0000 1.9613 2.5999
```

---

Which of these has the highest magnetization?
PaMoAs